The following is a DFT calculation (PBE) of a relaxed structure of TaSe2Br.

Values from the calculation:
DFT total energy: -4.74 eV/atom
space group: No. 166
distance to the lowest polymorph of the same formula: 1071 meV per atom
Fermi-level density of states: 4.1 states/eV/f.u.
uncorrected formation energy: 383 meV per atom

abc: 13.2753 13.2753 13.2753
angles: 12.77 12.77 12.77
Fractional coordinates of all 4 atoms:
Ta1 0.0000 0.0000 0.0000
Se1 0.0666 0.0666 0.0666
Se2 0.9334 0.9334 0.9334
Br1 0.5000 0.5000 0.5000